Entry from the Alexandria database: an optimized crystal structure of LaCeTmSn (PBE).

a = 5.4645 Å, b = 5.4645 Å, c = 5.4645 Å
α = 60.00°, β = 60.00°, γ = 60.00°
Closest atoms and distances in Å follow each position.
Atoms (fractional coordinates):
1 La 0.0000 0.0000 0.0000  4 Ce 3.35, 4 Sn 3.35
2 Ce 0.7500 0.7500 0.7500  4 Tm 3.35, 4 La 3.35
3 Tm 0.5000 0.5000 0.5000  4 Sn 3.35, 4 Ce 3.35
4 Sn 0.2500 0.2500 0.2500  4 Tm 3.35, 4 La 3.35

Calculated values
- DFT total energy (eV/cell) = -20.08
- energy of formation (meV per atom) = -186
- total magnetization (μB/atom) = 0.1201